Material: CdBOs2
Method: DFT, GGA-PBEsol
State: relaxed

Output
Symmetry: Fm-3m (225)
E_tot, eV/cell: -111.31
Calculated formation energy, eV per atom: 1.204

```
data_CdBOs2
_cell_length_a 5.967
_cell_length_b 5.967
_cell_length_c 5.967
_cell_angle_alpha 90.00
_cell_angle_beta 90.00
_cell_angle_gamma 90.00
_symmetry_space_group_name_H-M 'P 1'
_symmetry_Int_Tables_number 1
_symmetry_space_group_name_Hall 'P 1'
loop_
_atom_site_label
_atom_site_fract_x
_atom_site_fract_y
_atom_site_fract_z
Cd1 0.000 0.000 0.000
Cd2 0.000 0.500 0.500
Cd3 0.500 0.000 0.500
Cd4 0.500 0.500 0.000
B1 0.000 0.000 0.500
B2 0.000 0.500 0.000
B3 0.500 0.000 0.000
B4 0.500 0.500 0.500
Os1 0.250 0.250 0.250
Os2 0.250 0.250 0.750
Os3 0.250 0.750 0.250
Os4 0.250 0.750 0.750
Os5 0.750 0.250 0.250
Os6 0.750 0.250 0.750
Os7 0.750 0.750 0.250
Os8 0.750 0.750 0.750
```

Material: Sc2CdBOs
Method: DFT, GGA-PBEsol
State: relaxed

Output
Symmetry: P4/mmm (123)
E_tot, eV/cell: -23.36
Calculated formation energy, eV per atom: 2.055

```
data_Sc2CdBOs
_cell_length_a 5.033
_cell_length_b 5.033
_cell_length_c 4.762
_cell_angle_alpha 90.00
_cell_angle_beta 90.00
_cell_angle_gamma 90.00
_symmetry_space_group_name_H-M 'P 1'
_symmetry_Int_Tables_number 1
_symmetry_space_group_name_Hall 'P 1'
loop_
_atom_site_label
_atom_site_fract_x
_atom_site_fract_y
_atom_site_fract_z
Sc1 0.000 0.500 0.000
Sc2 0.500 0.000 0.000
Cd1 0.000 0.000 0.000
B1 0.500 0.500 0.500
Os1 0.000 0.000 0.500
```

Material: YCdB2Os
Method: DFT, GGA-PBEsol
State: relaxed

Output
Symmetry: P4/mmm (123)
E_tot, eV/cell: -24.06
Calculated formation energy, eV per atom: 2.042

```
data_YCdB2Os
_cell_length_a 4.101
_cell_length_b 4.101
_cell_length_c 5.520
_cell_angle_alpha 90.00
_cell_angle_beta 90.00
_cell_angle_gamma 90.00
_symmetry_space_group_name_H-M 'P 1'
_symmetry_Int_Tables_number 1
_symmetry_space_group_name_Hall 'P 1'
loop_
_atom_site_label
_atom_site_fract_x
_atom_site_fract_y
_atom_site_fract_z
Y1 0.000 0.000 0.000
Cd1 0.000 0.000 0.500
B1 0.000 0.500 0.500
B2 0.500 0.000 0.500
Os1 0.500 0.500 0.000
```

Material: Cd2BP
Method: DFT, GGA-PBEsol
State: relaxed

Output
Symmetry: Fm-3m (225)
E_tot, eV/cell: -44.77
Calculated formation energy, eV per atom: 1.003

```
data_Cd2BP
_cell_length_a 6.453
_cell_length_b 6.453
_cell_length_c 6.453
_cell_angle_alpha 90.00
_cell_angle_beta 90.00
_cell_angle_gamma 90.00
_symmetry_space_group_name_H-M 'P 1'
_symmetry_Int_Tables_number 1
_symmetry_space_group_name_Hall 'P 1'
loop_
_atom_site_label
_atom_site_fract_x
_atom_site_fract_y
_atom_site_fract_z
Cd1 0.250 0.250 0.250
Cd2 0.250 0.250 0.750
Cd3 0.250 0.750 0.250
Cd4 0.250 0.750 0.750
Cd5 0.750 0.250 0.250
Cd6 0.750 0.250 0.750
Cd7 0.750 0.750 0.250
Cd8 0.750 0.750 0.750
B1 0.000 0.000 0.000
B2 0.000 0.500 0.500
B3 0.500 0.000 0.500
B4 0.500 0.500 0.000
P1 0.000 0.000 0.500
P2 0.000 0.500 0.000
P3 0.500 0.000 0.000
P4 0.500 0.500 0.500
```

What is the formula in the third record?
YCdB2Os

What is the calculated formation energy in the second record?
2.055 eV per atom